Entry 1:
Here is a relaxed structure of Li2RuSe from Alexandria via LeMat-Bulk. Energies are from PBE.

The space group is P2/m (No. 10) and the conventional cell measures 3.341, 3.518 and 4.891 Å, with angles of 90.00, 90.27 and 90.00 degrees. Symmetry generates all atoms from Li at (0.001, 0.000, 0.248), Ru at (0.500, 0.500, 0.000) and Se at (0.500, 0.500, 0.500).

For the density, the calculation gives 5.60 g cm⁻³. The value obtained for the total magnetic moment is 0.000 μB/f.u. The uncorrected formation energy comes out at -185 meV/atom.

Entry 2:
Here is a relaxed structure of Zr2TaSi2Ru5 from Alexandria via LeMat-Bulk. Energies are from PBE.

The space group is P4/mbm (No. 127) and the conventional cell measures 9.722, 9.722 and 3.325 Å, with angles of 90.00, 90.00 and 90.00 degrees. Symmetry generates all atoms from Zr at (0.173, 0.327, 0.000), Ta at (0.000, 0.000, 0.000), Si at (0.125, 0.625, 0.000), Ru at (0.000, 0.500, 0.500) and Ru at (0.070, 0.791, 0.500).

For the density, the calculation gives 9.77 g cm⁻³. The value obtained for the total magnetic moment is 0.000 μB/f.u. The uncorrected formation energy comes out at -699 meV/atom.

Entry 3:
Here is a relaxed structure of LiHoPaPt from Alexandria via LeMat-Bulk. Energies are from PBE.

The space group is F-43m (No. 216) and the conventional cell measures 7.028, 7.028 and 7.028 Å, with angles of 90.00, 90.00 and 90.00 degrees. Symmetry generates all atoms from Li at (0.000, 0.000, 0.000), Ho at (0.250, 0.250, 0.750), Pa at (0.250, 0.250, 0.250) and Pt at (0.000, 0.000, 0.500).

For the density, the calculation gives 11.44 g cm⁻³. Its formation enthalpy at 0 K is -1.2 eV/f.u. The value obtained for the total magnetic moment is 1.007 μB/f.u.

Entry 4:
Here is a relaxed structure of LiCrI2 from Alexandria via LeMat-Bulk. Energies are from PBE.

The space group is R-3m (No. 166, hexagonal axes) and the conventional cell measures 4.3152, 4.3152 and 20.6154 Å, with angles of 90.00, 90.00 and 120.00 degrees. Symmetry generates all atoms from Li at (0.0000, 0.0000, 0.0000), Cr at (0.0000, 0.0000, 0.5000) and I at (0.0000, 0.0000, 0.2495).

For the density, the calculation gives 4.69 g cm⁻³. The value obtained for the total magnetic moment is 5.000 μB/f.u. The uncorrected formation energy comes out at -377 meV/atom. Its energy relative to the lowest polymorph listed for this composition is 59.2 meV per atom.

Q: Number 1 is which compound?
A: Li2RuSe